## Sr2Zr2Te (PBE)

Data for crystalline Sr2Zr2Te at its relaxed geometry.

Output
The calculation puts the density of states at the Fermi level at 11.72 states/eV per cell. As for the energy above the lowest structure with this stoichiometry: 0 meV per atom. As for the raw formation energy: 0.010 eV per atom.

Unit cell a=7.577 b=7.577 c=5.728 alpha=90.00 beta=90.00 gamma=90.00
Space group P4/mbm (No. 127)
Symmetry-distinct sites (fractional):
Sr (0.164, 0.336, 0.000) [4 per cell]
Zr (0.141, 0.641, 0.500) [4 per cell]
Te (0.000, 0.000, 0.500) [2 per cell]